Entry 1:
Computed, not measured: a geometry-optimized Ni2AgRh structure at the PBE-GGA level of DFT.

Output
DOS(E_F)	1.46	states/eV/atom
SG	Pm
spin magnetization	0.52	μB per atom
calculated formation energy	0.2153	eV/atom

Unit cell a=2.678 b=4.098 c=5.141 alpha=90.00 beta=105.05 gamma=90.00
Positions (direct):
Ni 0.000 0.000 0.000
Ni 0.129 0.500 0.263
Ag 0.390 0.500 0.780
Rh 0.725 0.000 0.453

---

Entry 2:
Computed, not measured: a geometry-optimized LiMgCd2Ga structure at the PBE-GGA level of DFT.

Output
DOS(E_F)	0.39	states/eV/atom
SG	Cmcm
spin magnetization	0.00	μB per atom
calculated formation energy	-0.0876	eV/atom

Unit cell a=5.702 b=5.702 c=8.373 alpha=90.00 beta=90.00 gamma=131.82
Positions (direct):
Li 0.155 0.845 0.750
Li 0.845 0.155 0.250
Mg 0.441 0.559 0.750
Mg 0.559 0.441 0.250
Cd 0.301 0.699 0.076
Cd 0.301 0.699 0.424
Cd 0.699 0.301 0.576
Cd 0.699 0.301 0.924
Ga 0.000 0.000 0.000
Ga 0.000 0.000 0.500

---

Number 1: raw total energy -5.23 eV/atom. Number 2: raw total energy -1.76 eV/atom.